No. 1
## CrInW4 (PBE)

Data for a geometry-optimized CrInW4 structure.

The crystal system is cubic. The volume comes out at 421.7 Å³/cell. The value obtained for the total magnetic moment is 6.0 Bohr magnetons per cell. The value obtained for the formation energy is 357 kJ/mol of formula units.

CIF file:
```
data_CrInW4
_space_group_name_H-M_alt 'F -4 3 m'
_space_group_IT_number 216
_space_group_name_Hall 'F -4 2 3'
_cell_length_a 7.4990
_cell_length_b 7.4990
_cell_length_c 7.4990
_cell_angle_alpha 90.00
_cell_angle_beta 90.00
_cell_angle_gamma 90.00
loop_
_atom_site_label
_atom_site_type_symbol
_atom_site_fract_x
_atom_site_fract_y
_atom_site_fract_z
_atom_site_occupancy
Cr1 Cr 0.0000 0.0000 0.0000 1
In1 In 0.2500 0.2500 0.7500 1
W1 W 0.1243 0.1243 0.3757 1
```

=====

No. 2
## CrIn2W (PBE)

Data for a geometry-optimized CrIn2W structure.

The crystal system is orthorhombic. The volume comes out at 147.2 Å³/cell. The value obtained for the total magnetic moment is 7.1 Bohr magnetons per cell. The value obtained for the formation energy is 233 kJ/mol of formula units. The energy above the most stable polymorph in this dataset is 0.2718 eV/atom.

CIF file:
```
data_CrIn2W
_space_group_name_H-M_alt 'C m m m'
_space_group_IT_number 65
_space_group_name_Hall '-C 2 2'
_cell_length_a 5.9136
_cell_length_b 8.4711
_cell_length_c 2.9386
_cell_angle_alpha 90.00
_cell_angle_beta 90.00
_cell_angle_gamma 90.00
loop_
_atom_site_label
_atom_site_type_symbol
_atom_site_fract_x
_atom_site_fract_y
_atom_site_fract_z
_atom_site_occupancy
Cr1 Cr 0.0000 0.0000 0.0000 1
In1 In 0.2500 0.2500 0.5000 1
W1 W 0.0000 0.5000 0.0000 1
```

=====

No. 3
## CrIn2W (PBE)

Data for a geometry-optimized CrIn2W structure.

The crystal system is tetragonal. The volume comes out at 74.1 Å³/cell. The value obtained for the total magnetic moment is 3.7 Bohr magnetons per cell. The value obtained for the formation energy is 262 kJ/mol of formula units. The energy above the most stable polymorph in this dataset is 0.3467 eV/atom.

CIF file:
```
data_CrIn2W
_space_group_name_H-M_alt 'P 4/m m m'
_space_group_IT_number 123
_space_group_name_Hall '-P 4 2'
_cell_length_a 3.4703
_cell_length_b 3.4703
_cell_length_c 6.1563
_cell_angle_alpha 90.00
_cell_angle_beta 90.00
_cell_angle_gamma 90.00
loop_
_atom_site_label
_atom_site_type_symbol
_atom_site_fract_x
_atom_site_fract_y
_atom_site_fract_z
_atom_site_occupancy
Cr1 Cr 0.0000 0.0000 0.0000 1
In1 In 0.5000 0.5000 0.2517 1
W1 W 0.0000 0.0000 0.5000 1
```

=====

No. 4
## Cr2InW (PBE)

Data for a geometry-optimized Cr2InW structure.

The crystal system is monoclinic. The volume comes out at 62.3 Å³/cell. The value obtained for the total magnetic moment is 0.0 Bohr magnetons per cell. The value obtained for the formation energy is 173 kJ/mol of formula units.

CIF file:
```
data_Cr2InW
_space_group_name_H-M_alt 'P 1 m 1'
_space_group_IT_number 6
_space_group_name_Hall 'P -2y'
_cell_length_a 2.8407
_cell_length_b 3.9076
_cell_length_c 5.6675
_cell_angle_alpha 90.00
_cell_angle_beta 97.87
_cell_angle_gamma 90.00
loop_
_atom_site_label
_atom_site_type_symbol
_atom_site_fract_x
_atom_site_fract_y
_atom_site_fract_z
_atom_site_occupancy
Cr1 Cr 0.0000 0.0000 0.0000 1
Cr2 Cr 0.3763 0.5000 0.1891 1
In1 In 0.9610 0.0000 0.4808 1
W1 W 0.5627 0.5000 0.7936 1
```

=====

No. 5
## CrIn2W (PBE)

Data for a geometry-optimized CrIn2W structure.

The crystal system is tetragonal. The volume comes out at 72.7 Å³/cell. The value obtained for the total magnetic moment is 2.3 Bohr magnetons per cell. The value obtained for the formation energy is 240 kJ/mol of formula units. The energy above the most stable polymorph in this dataset is 0.2894 eV/atom.

CIF file:
```
data_CrIn2W
_space_group_name_H-M_alt 'P 4/m m m'
_space_group_IT_number 123
_space_group_name_Hall '-P 4 2'
_cell_length_a 4.1268
_cell_length_b 4.1268
_cell_length_c 4.2697
_cell_angle_alpha 90.00
_cell_angle_beta 90.00
_cell_angle_gamma 90.00
loop_
_atom_site_label
_atom_site_type_symbol
_atom_site_fract_x
_atom_site_fract_y
_atom_site_fract_z
_atom_site_occupancy
Cr1 Cr 0.0000 0.0000 0.0000 1
In1 In 0.0000 0.5000 0.5000 1
W1 W 0.5000 0.5000 0.0000 1
```

=====

No. 6
## Cr2InW (PBE)

Data for a geometry-optimized Cr2InW structure.

The crystal system is orthorhombic. The volume comes out at 63.0 Å³/cell. The value obtained for the total magnetic moment is 2.2 Bohr magnetons per cell. The value obtained for the formation energy is 221 kJ/mol of formula units.

CIF file:
```
data_Cr2InW
_space_group_name_H-M_alt 'P m m m'
_space_group_IT_number 47
_space_group_name_Hall '-P 2 2'
_cell_length_a 3.2986
_cell_length_b 4.2596
_cell_length_c 4.4833
_cell_angle_alpha 90.00
_cell_angle_beta 90.00
_cell_angle_gamma 90.00
loop_
_atom_site_label
_atom_site_type_symbol
_atom_site_fract_x
_atom_site_fract_y
_atom_site_fract_z
_atom_site_occupancy
Cr1 Cr 0.0000 0.0000 0.0000 1
Cr2 Cr 0.5000 0.0000 0.5000 1
In1 In 0.0000 0.5000 0.5000 1
W1 W 0.5000 0.5000 0.0000 1
```

=====

No. 7
## Cr2InW (PBE)

Data for a geometry-optimized Cr2InW structure.

The crystal system is tetragonal. The volume comes out at 61.8 Å³/cell. The value obtained for the total magnetic moment is 2.9 Bohr magnetons per cell. The value obtained for the formation energy is 93 kJ/mol of formula units.

CIF file:
```
data_Cr2InW
_space_group_name_H-M_alt 'P 4/m m m'
_space_group_IT_number 123
_space_group_name_Hall '-P 4 2'
_cell_length_a 3.1316
_cell_length_b 3.1316
_cell_length_c 6.3015
_cell_angle_alpha 90.00
_cell_angle_beta 90.00
_cell_angle_gamma 90.00
loop_
_atom_site_label
_atom_site_type_symbol
_atom_site_fract_x
_atom_site_fract_y
_atom_site_fract_z
_atom_site_occupancy
Cr1 Cr 0.0000 0.0000 0.2213 1
In1 In 0.5000 0.5000 0.5000 1
W1 W 0.5000 0.5000 0.0000 1
```

=====

No. 8
## ZnCr2InW (PBE)

Data for a geometry-optimized ZnCr2InW structure.

The crystal system is tetragonal. The volume comes out at 104.9 Å³/cell. The value obtained for the total magnetic moment is 0.0 Bohr magnetons per cell. The value obtained for the formation energy is 1228 kJ/mol of formula units.

CIF file:
```
data_ZnCr2InW
_space_group_name_H-M_alt 'P 4/m m m'
_space_group_IT_number 123
_space_group_name_Hall '-P 4 2'
_cell_length_a 4.6377
_cell_length_b 4.6377
_cell_length_c 4.8750
_cell_angle_alpha 90.00
_cell_angle_beta 90.00
_cell_angle_gamma 90.00
loop_
_atom_site_label
_atom_site_type_symbol
_atom_site_fract_x
_atom_site_fract_y
_atom_site_fract_z
_atom_site_occupancy
Zn1 Zn 0.0000 0.0000 0.0000 1
Cr1 Cr 0.0000 0.5000 0.5000 1
In1 In 0.5000 0.5000 0.5000 1
W1 W 0.5000 0.5000 0.0000 1
```

=====

No. 9
## Y2CrIn (PBE)

Data for a geometry-optimized Y2CrIn structure.

The crystal system is tetragonal. The volume comes out at 199.5 Å³/cell. The value obtained for the total magnetic moment is 6.7 Bohr magnetons per cell. The value obtained for the formation energy is 19 kJ/mol of formula units.

CIF file:
```
data_Y2CrIn
_space_group_name_H-M_alt 'I -4 m 2'
_space_group_IT_number 119
_space_group_name_Hall 'I -4 -2'
_cell_length_a 4.5101
_cell_length_b 4.5101
_cell_length_c 9.8080
_cell_angle_alpha 90.00
_cell_angle_beta 90.00
_cell_angle_gamma 90.00
loop_
_atom_site_label
_atom_site_type_symbol
_atom_site_fract_x
_atom_site_fract_y
_atom_site_fract_z
_atom_site_occupancy
Y1 Y 0.0000 0.0000 0.0000 1
Y2 Y 0.0000 0.5000 0.2500 1
Cr1 Cr 0.0000 0.5000 0.7500 1
In1 In 0.0000 0.0000 0.5000 1
```

=====

No. 10
## YCrIn3 (PBE)

Data for a geometry-optimized YCrIn3 structure.

The crystal system is cubic. The volume comes out at 128.1 Å³/cell. The value obtained for the total magnetic moment is 1.6 Bohr magnetons per cell. The value obtained for the formation energy is 99 kJ/mol of formula units. The energy above the most stable polymorph in this dataset is 0.0000 eV/atom.

CIF file:
```
data_YCrIn3
_space_group_name_H-M_alt 'P m -3 m'
_space_group_IT_number 221
_space_group_name_Hall '-P 4 2 3'
_cell_length_a 5.0410
_cell_length_b 5.0410
_cell_length_c 5.0410
_cell_angle_alpha 90.00
_cell_angle_beta 90.00
_cell_angle_gamma 90.00
loop_
_atom_site_label
_atom_site_type_symbol
_atom_site_fract_x
_atom_site_fract_y
_atom_site_fract_z
_atom_site_occupancy
Y1 Y 0.0000 0.0000 0.0000 1
Cr1 Cr 0.5000 0.5000 0.5000 1
In1 In 0.0000 0.5000 0.5000 1
```

=====

No. 11
## Y2CrIn (PBE)

Data for a geometry-optimized Y2CrIn structure.

The crystal system is cubic. The volume comes out at 381.8 Å³/cell. The value obtained for the total magnetic moment is 12.0 Bohr magnetons per cell. The value obtained for the formation energy is 42 kJ/mol of formula units.

CIF file:
```
data_Y2CrIn
_space_group_name_H-M_alt 'F -4 3 m'
_space_group_IT_number 216
_space_group_name_Hall 'F -4 2 3'
_cell_length_a 7.2544
_cell_length_b 7.2544
_cell_length_c 7.2544
_cell_angle_alpha 90.00
_cell_angle_beta 90.00
_cell_angle_gamma 90.00
loop_
_atom_site_label
_atom_site_type_symbol
_atom_site_fract_x
_atom_site_fract_y
_atom_site_fract_z
_atom_site_occupancy
Y1 Y 0.0000 0.0000 0.0000 1
Y2 Y 0.2500 0.2500 0.2500 1
Cr1 Cr 0.0000 0.0000 0.5000 1
In1 In 0.2500 0.2500 0.7500 1
```

=====

No. 12
## Y2Cr2In (PBE)

Data for a geometry-optimized Y2Cr2In structure.

The crystal system is tetragonal. The volume comes out at 218.7 Å³/cell. The value obtained for the total magnetic moment is 0.0 Bohr magnetons per cell. The value obtained for the formation energy is 44 kJ/mol of formula units.

CIF file:
```
data_Y2Cr2In
_space_group_name_H-M_alt 'P 4/m b m'
_space_group_IT_number 127
_space_group_name_Hall '-P 4 2ab'
_cell_length_a 7.0447
_cell_length_b 7.0447
_cell_length_c 4.4076
_cell_angle_alpha 90.00
_cell_angle_beta 90.00
_cell_angle_gamma 90.00
loop_
_atom_site_label
_atom_site_type_symbol
_atom_site_fract_x
_atom_site_fract_y
_atom_site_fract_z
_atom_site_occupancy
Y1 Y 0.1857 0.3143 0.0000 1
Cr1 Cr 0.0944 0.5944 0.5000 1
In1 In 0.0000 0.0000 0.5000 1
```

=====

No. 13
## YCrIn3 (PBE)

Data for a geometry-optimized YCrIn3 structure.

The crystal system is cubic. The volume comes out at 195.5 Å³/cell. The value obtained for the total magnetic moment is 4.4 Bohr magnetons per cell. The value obtained for the formation energy is 501 kJ/mol of formula units. The energy above the most stable polymorph in this dataset is 0.8341 eV/atom.

CIF file:
```
data_YCrIn3
_space_group_name_H-M_alt 'P m -3 m'
_space_group_IT_number 221
_space_group_name_Hall '-P 4 2 3'
_cell_length_a 5.8036
_cell_length_b 5.8036
_cell_length_c 5.8036
_cell_angle_alpha 90.00
_cell_angle_beta 90.00
_cell_angle_gamma 90.00
loop_
_atom_site_label
_atom_site_type_symbol
_atom_site_fract_x
_atom_site_fract_y
_atom_site_fract_z
_atom_site_occupancy
Y1 Y 0.0000 0.0000 0.0000 1
Cr1 Cr 0.5000 0.5000 0.5000 1
In1 In 0.0000 0.0000 0.5000 1
```

=====

No. 14
## Y2CrIn (PBE)

Data for a geometry-optimized Y2CrIn structure.

The crystal system is tetragonal. The volume comes out at 390.9 Å³/cell. The value obtained for the total magnetic moment is 0.0 Bohr magnetons per cell. The value obtained for the formation energy is 217 kJ/mol of formula units.

CIF file:
```
data_Y2CrIn
_space_group_name_H-M_alt 'I -4 2 d'
_space_group_IT_number 122
_space_group_name_Hall 'I -4 2bw'
_cell_length_a 8.0154
_cell_length_b 8.0154
_cell_length_c 6.0843
_cell_angle_alpha 90.00
_cell_angle_beta 90.00
_cell_angle_gamma 90.00
loop_
_atom_site_label
_atom_site_type_symbol
_atom_site_fract_x
_atom_site_fract_y
_atom_site_fract_z
_atom_site_occupancy
Y1 Y 0.2090 0.7500 0.1250 1
Cr1 Cr 0.0000 0.0000 0.0000 1
In1 In 0.0000 0.0000 0.5000 1
```